Here is a relaxed structure of Y7Bi3C2 from Alexandria via LeMat-Bulk. Energies are from PBE-GGA.

It has space group Cmmm (No. 65), with a = 4.9289 Å, b = 25.2415 Å, c = 4.8642 Å, α = 90.00°, β = 90.00° and γ = 90.00°. The distinct sites, in fractional coordinates, are Y at (0.0000, 0.0000, 0.0000), Y at (0.0000, 0.0963, 0.5000), Y at (0.0000, 0.1948, 0.0000), Y at (0.0000, 0.4037, 0.0000), Bi at (0.0000, 0.3104, 0.5000), Bi at (0.0000, 0.5000, 0.5000) and C at (0.0000, 0.0996, 0.0000).

Its crystal system is orthorhombic. As for the formation energy: -0.601 eV per atom.



Here is a relaxed structure of Pm3Ge2H from Alexandria via LeMat-Bulk. Energies are from PBE-GGA.

It has space group Pnma (No. 62), with a = 8.2295 Å, b = 4.2272 Å, c = 16.4908 Å, α = 90.00°, β = 90.00° and γ = 90.00°. The distinct sites, in fractional coordinates, are Pm at (0.0033, 0.2500, 0.1041), Pm at (0.1337, 0.7500, 0.4310), Pm at (0.1609, 0.2500, 0.7211), Ge at (0.1174, 0.2500, 0.2893), Ge at (0.2397, 0.7500, 0.0401) and H at (0.1134, 0.2500, 0.8637).

Its crystal system is orthorhombic. The value obtained for the energy above the most stable polymorph in this dataset is 0 kJ/mol of formula units.



Here is a relaxed structure of Nd4Tl3 from Alexandria via LeMat-Bulk. Energies are from PBE-GGA.

It has space group R-3 (No. 148, hexagonal axes), with a = 14.7569 Å, b = 14.7569 Å, c = 6.8099 Å, α = 90.00°, β = 90.00° and γ = 120.00°. The distinct sites, in fractional coordinates, are Nd at (0.0000, 0.0000, 0.0000), Nd at (0.0000, 0.0000, 0.5000), Nd at (0.0557, 0.8017, 0.1817) and Tl at (0.0502, 0.8258, 0.7020).

Its crystal system is trigonal. As for the formation energy: -0.313 eV per atom. The value obtained for the energy above the most stable polymorph in this dataset is 0 kJ/mol of formula units.



| no. | calculated total energy (eV/atom) |
| --- | --- |
| 1 | -6.88 |
| 2 | -5.24 |
| 3 | -4.05 |